Crystalline K4CdF6 at its relaxed geometry, computed with PBE.

abc: 10.5066 10.5066 12.9216
angles: 90.00 90.00 120.00
Space group R-3c (No. 167, hexagonal axes)
Symmetry-distinct sites (fractional):
K 0.0000 0.0000 0.2500 (multiplicity 6)
K 0.0000 0.3609 0.2500 (multiplicity 18)
Cd 0.0000 0.0000 0.0000 (multiplicity 6)
F 0.0293 0.1880 0.3972 (multiplicity 36)

Computed properties:
- Theoretical density: 3.087 g/cm3
- Raw formation energy: -59.96 kcal/mol of atoms